(1)
A relaxed structure of Ga2GePb. Source: Alexandria via LeMat-Bulk, functional PBE.

The calculation puts the calculated volume at 455.5 Å³/cell. The formation enthalpy at 0 K comes out at 0.201 eV/atom. Its relative energy among the computed polymorphs is 0.096 eV per atom. The total energy is -13.57 eV/f.u. The total moment is 0.00 μB per cell.

The structure belongs to space group I-42d (No. 122); the cell edges are 6.2355, 6.2355 and 11.7158 Å and the angles 90.00°, 90.00° and 90.00°. The distinct sites, in fractional coordinates, are Ga at (0.2033, 0.2500, 0.1250), Ge at (0.0000, 0.0000, 0.0000) and Pb at (0.0000, 0.0000, 0.5000).

---

(2)
A relaxed structure of Ca3Tm4S8. Source: Alexandria via LeMat-Bulk, functional PBE.

The calculation puts the calculated volume at 680.2 Å³/cell. The total energy is -87.93 eV/f.u. The total moment is 0.00 μB per cell. As for the uncorrected formation energy: -31.0 eV per formula unit.

The structure belongs to space group C2/m (No. 12); the cell edges are 11.0436, 11.0813 and 7.7930 Å and the angles 90.00°, 134.50° and 90.00°. The distinct sites, in fractional coordinates, are Ca at (0.0000, 0.0000, 0.0000), Ca at (0.2500, 0.2500, 0.0000), Tm at (0.0000, 0.5000, 0.0000), Tm at (0.0000, 0.5000, 0.5000), Tm at (0.2500, 0.2500, 0.5000), S at (0.0000, 0.2535, 0.0000), S at (0.0000, 0.2547, 0.5000), S at (0.2368, 0.5000, 0.9847) and S at (0.2434, 0.5000, 0.4920).

---

(3)
A relaxed structure of NaLa3Y2Te6. Source: Alexandria via LeMat-Bulk, functional PBE.

The calculation puts the calculated volume at 773.3 Å³/cell. The total energy is -65.23 eV/f.u. The total moment is 0.00 μB per cell. As for the uncorrected formation energy: -17.4 eV per formula unit.

The structure belongs to space group C2/m (No. 12); the cell edges are 19.5961, 4.4941 and 9.0046 Å and the angles 90.00°, 102.79° and 90.00°. The distinct sites, in fractional coordinates, are Na at (0.0000, 0.0000, 0.0000), La at (0.0000, 0.0000, 0.5000), La at (0.1627, 0.5000, 0.8298), Y at (0.1681, 0.5000, 0.3417), Te at (0.0062, 0.5000, 0.2457), Te at (0.1667, 0.0000, 0.0955) and Te at (0.1693, 0.0000, 0.5776).

---

(4)
A relaxed structure of Sr2TlZnN. Source: Alexandria via LeMat-Bulk, functional PBE.

The calculation puts the calculated volume at 122.3 Å³/cell. Its relative energy among the computed polymorphs is 0.116 eV per atom. The total energy is -16.87 eV/f.u. The total moment is 0.00 μB per cell. As for the uncorrected formation energy: -1.5 eV per formula unit.

The structure belongs to space group P4/mmm (No. 123); the cell edges are 5.5497, 5.5497 and 3.9708 Å and the angles 90.00°, 90.00° and 90.00°. The distinct sites, in fractional coordinates, are Sr at (0.0000, 0.5000, 0.0000), Tl at (0.0000, 0.0000, 0.5000), Zn at (0.5000, 0.5000, 0.5000) and N at (0.5000, 0.5000, 0.0000).

---

(5)
A relaxed structure of Zn2InSi. Source: Alexandria via LeMat-Bulk, functional PBE.

The calculation puts the calculated volume at 153.8 Å³/cell. Its relative energy among the computed polymorphs is 0.002 eV per atom. The total energy is -9.85 eV/f.u. The total moment is 0.00 μB per cell. As for the uncorrected formation energy: 0.9 eV per formula unit.

The structure belongs to space group C2/m (No. 12); the cell edges are 7.7374, 3.1920 and 6.3994 Å and the angles 90.00°, 103.27° and 90.00°. The distinct sites, in fractional coordinates, are Zn at (0.2447, 0.0000, 0.1988), In at (0.0000, 0.0000, 0.5000) and Si at (0.0000, 0.5000, 0.0000).

---

(6)
A relaxed structure of Ti5HPb2. Source: Alexandria via LeMat-Bulk, functional PBE.

The calculation puts the calculated volume at 286.8 Å³/cell. Its relative energy among the computed polymorphs is 0.090 eV per atom. The total energy is -50.28 eV/f.u. The total moment is 0.01 μB per cell.

The structure belongs to space group I4mm (No. 107); the cell edges are 5.8587, 5.8587 and 8.3567 Å and the angles 90.00°, 90.00° and 90.00°. The distinct sites, in fractional coordinates, are Ti at (0.0000, 0.0000, 0.0000), Ti at (0.2474, 0.2474, 0.2504), H at (0.0000, 0.0000, 0.7616) and Pb at (0.0000, 0.5000, 0.0014).

---

(7)
A relaxed structure of As3PbBr. Source: Alexandria via LeMat-Bulk, functional PBE.

The calculation puts the calculated volume at 137.4 Å³/cell. Its relative energy among the computed polymorphs is 0.000 eV per atom. The total energy is -14.85 eV/f.u. The total moment is 0.00 μB per cell. As for the uncorrected formation energy: 4.5 eV per formula unit.

The structure belongs to space group Pm-3m (No. 221); the cell edges are 5.1599, 5.1599 and 5.1599 Å and the angles 90.00°, 90.00° and 90.00°. The distinct sites, in fractional coordinates, are As at (0.0000, 0.0000, 0.5000), Pb at (0.5000, 0.5000, 0.5000) and Br at (0.0000, 0.0000, 0.0000).

---

(8)
A relaxed structure of TbNd2YHo. Source: Alexandria via LeMat-Bulk, functional PBE.

The calculation puts the calculated volume at 709.3 Å³/cell. The formation enthalpy at 0 K comes out at 0.414 eV/atom. The total energy is -23.14 eV/f.u. The total moment is 0.00 μB per cell.

The structure belongs to space group Cmcm (No. 63); the cell edges are 8.3714, 11.6547 and 7.2696 Å and the angles 90.00°, 90.00° and 90.00°. The distinct sites, in fractional coordinates, are Tb at (0.0000, 0.0289, 0.2500), Nd at (0.1938, 0.5000, 0.0000), Y at (0.0000, 0.2551, 0.7500) and Ho at (0.0000, 0.2900, 0.2500).

---

(9)
A relaxed structure of YBePt3. Source: Alexandria via LeMat-Bulk, functional PBE.

The calculation puts the calculated volume at 337.9 Å³/cell. The formation enthalpy at 0 K comes out at -0.841 eV/atom. Its relative energy among the computed polymorphs is 0.115 eV per atom. The total energy is -32.52 eV/f.u. The total moment is 0.00 μB per cell.

The structure belongs to space group Cmcm (No. 63); the cell edges are 6.5520, 5.9269 and 8.7000 Å and the angles 90.00°, 90.00° and 90.00°. The distinct sites, in fractional coordinates, are Y at (0.0000, 0.0398, 0.2500), Be at (0.0000, 0.5000, 0.0000), Pt at (0.0000, 0.4320, 0.7500) and Pt at (0.2500, 0.2500, 0.0000).

---

(10)
A relaxed structure of MnWBr2. Source: Alexandria via LeMat-Bulk, functional PBE.

The calculation puts the calculated volume at 91.5 Å³/cell. Its relative energy among the computed polymorphs is 0.019 eV per atom. The total energy is -24.77 eV/f.u. The total moment is 1.41 μB per cell. As for the uncorrected formation energy: 0.7 eV per formula unit.

The structure belongs to space group Pm (No. 6); the cell edges are 3.3433, 3.0703 and 8.9135 Å and the angles 90.00°, 90.60° and 90.00°. The distinct sites, in fractional coordinates, are Mn at (0.0000, 0.0000, 0.0000), W at (0.5044, 0.5000, 0.1488), Br at (0.5111, 0.0000, 0.3783) and Br at (0.9946, 0.5000, 0.7799).

---

(11)
A relaxed structure of Cs2SbBr4. Source: Alexandria via LeMat-Bulk, functional PBE.

The calculation puts the calculated volume at 627.6 Å³/cell. Its relative energy among the computed polymorphs is 0.005 eV per atom. The total energy is -20.89 eV/f.u. The total moment is 0.00 μB per cell. As for the uncorrected formation energy: -8.4 eV per formula unit.

The structure belongs to space group I4/mmm (No. 139); the cell edges are 5.9381, 5.9381 and 17.7982 Å and the angles 90.00°, 90.00° and 90.00°. The distinct sites, in fractional coordinates, are Cs at (0.0000, 0.0000, 0.1353), Sb at (0.0000, 0.0000, 0.5000), Br at (0.0000, 0.0000, 0.3390) and Br at (0.0000, 0.5000, 0.0000).

---

(12)
A relaxed structure of PmPrPtI. Source: Alexandria via LeMat-Bulk, functional PBE.

The calculation puts the calculated volume at 386.3 Å³/cell. The total energy is -21.56 eV/f.u. The total moment is 0.00 μB per cell. As for the uncorrected formation energy: -4.4 eV per formula unit.

The structure belongs to space group R3m (No. 160, hexagonal axes); the cell edges are 4.2707, 4.2707 and 24.4537 Å and the angles 90.00°, 90.00° and 120.00°. The distinct sites, in fractional coordinates, are Pm at (0.0000, 0.0000, 0.0000), Pr at (0.0000, 0.0000, 0.7905), Pt at (0.0000, 0.0000, 0.3939) and I at (0.0000, 0.0000, 0.5645).

---

- Which value of total moment does entry 10 give?
  1.41 μB per cell

---

- Which of these has the lowest calculated volume?
  MnWBr2